# 1
Below is a relaxed SrPd5Pb2 crystal, with properties calculated at the PBE level.

- calculated total energy (eV/atom) = -4.731
- ΔH_f (0 K) (eV per atom) = -0.35
- crystal system = orthorhombic

The structure in POSCAR format:
```
SrPd5Pb2
1.0
-2.0578 3.6157 5.7876
2.0578 -3.6157 5.7876
2.0578 3.6157 -5.7876
Sr Pd Pb
1 5 2
direct
0.0000 0.0000 0.0000
0.1831 0.3788 0.8043
0.4255 0.6212 0.8043
0.5000 0.0000 0.5000
0.5745 0.3788 0.1957
0.8169 0.6212 0.1957
0.2589 0.7589 0.5000
0.7411 0.2411 0.5000
```

***

# 2
Below is a relaxed SrPd3Pb3 crystal, with properties calculated at the PBE level.

- calculated total energy (eV/atom) = -4.429
- ΔH_f (0 K) (eV per atom) = -0.37
- crystal system = hexagonal

The structure in POSCAR format:
```
SrPd3Pb3
1.0
9.3650 0.0000 0.0000
-4.6825 8.1104 0.0000
0.0000 0.0000 4.7672
Sr Pd Pb
2 6 6
direct
0.3333 0.6667 0.2500
0.6667 0.3333 0.7500
0.0507 0.6048 0.7500
0.3952 0.4460 0.7500
0.4460 0.0507 0.2500
0.5540 0.9493 0.7500
0.6048 0.5540 0.2500
0.9493 0.3952 0.2500
0.0428 0.2970 0.7500
0.2542 0.9572 0.7500
0.2970 0.2542 0.2500
0.7030 0.7458 0.7500
0.7458 0.0428 0.2500
0.9572 0.7030 0.2500
```

***

# 3
Below is a relaxed Sr3Pd4Pb4 crystal, with properties calculated at the PBE level.

- calculated total energy (eV/atom) = -4.241
- ΔH_f (0 K) (eV per atom) = -0.55
- crystal system = orthorhombic

The structure in POSCAR format:
```
Sr3Pd4Pb4
1.0
-2.2971 3.9901 7.8491
2.2971 -3.9901 7.8491
2.2971 3.9901 -7.8491
Sr Pd Pb
3 4 4
direct
0.0000 0.0000 0.0000
0.3789 0.8789 0.5000
0.6211 0.1211 0.5000
0.2148 0.2148 0.0000
0.3201 0.5000 0.8201
0.6799 0.5000 0.1799
0.7852 0.7852 0.0000
0.0318 0.3310 0.7008
0.3698 0.6690 0.7008
0.6302 0.3310 0.2992
0.9682 0.6690 0.2992
```

***

# 4
Below is a relaxed Sr2Pd2Pb crystal, with properties calculated at the PBE level.

- calculated total energy (eV/atom) = -3.923
- ΔH_f (0 K) (eV per atom) = -0.43
- crystal system = tetragonal

The structure in POSCAR format:
```
Sr2Pd2Pb
1.0
-2.9867 2.9867 4.0916
2.9867 -2.9867 4.0916
2.9867 2.9867 -4.0916
Sr Pd Pb
2 2 1
direct
0.2500 0.7500 0.5000
0.7500 0.2500 0.5000
0.1622 0.1622 0.0000
0.8378 0.8378 0.0000
0.5000 0.5000 0.0000
```

***

# 5
Below is a relaxed SrPd4Pb crystal, with properties calculated at the PBE level.

- calculated total energy (eV/atom) = -4.680
- ΔH_f (0 K) (eV per atom) = -0.32
- crystal system = orthorhombic

The structure in POSCAR format:
```
SrPd4Pb
1.0
8.1662 0.0000 0.0000
0.0000 4.2019 0.0000
0.0000 0.0000 7.3742
Sr Pd Pb
2 8 2
direct
0.2500 0.0000 0.1680
0.7500 0.0000 0.8320
0.0000 0.0000 0.5000
0.0319 0.5000 0.7878
0.2500 0.5000 0.4669
0.4681 0.5000 0.7878
0.5000 0.0000 0.5000
0.5319 0.5000 0.2122
0.7500 0.5000 0.5331
0.9681 0.5000 0.2122
0.2500 0.0000 0.7370
0.7500 0.0000 0.2630
```

***

# 6
Below is a relaxed SrPdPb crystal, with properties calculated at the PBE level.

- calculated total energy (eV/atom) = -4.066
- ΔH_f (0 K) (eV per atom) = -0.54
- crystal system = monoclinic

The structure in POSCAR format:
```
SrPdPb
1.0
3.4321 -3.4321 0.0000
3.4321 3.4321 0.0000
-0.0143 0.0000 7.3005
Sr Pd Pb
2 2 2
direct
0.2500 0.2500 0.1947
0.7500 0.7500 0.8053
0.2514 0.7486 0.5000
0.7486 0.2514 0.5000
0.2494 0.2494 0.7033
0.7506 0.7506 0.2967
```

***

# 7
Below is a relaxed Sr3Pd2Pb3 crystal, with properties calculated at the PBE level.

- calculated total energy (eV/atom) = -3.868
- ΔH_f (0 K) (eV per atom) = -0.55
- crystal system = orthorhombic

The structure in POSCAR format:
```
Sr3Pd2Pb3
1.0
8.9614 0.0000 0.0000
0.0000 16.9262 0.0000
0.0000 0.0000 6.2458
Sr Pd Pb
12 8 12
direct
0.0357 0.1108 0.1146
0.0357 0.3892 0.1146
0.1752 0.2500 0.6207
0.3248 0.7500 0.1207
0.4643 0.6108 0.6146
0.4643 0.8892 0.6146
0.5357 0.1108 0.3854
0.5357 0.3892 0.3854
0.6752 0.2500 0.8793
0.8248 0.7500 0.3793
0.9643 0.6108 0.8854
0.9643 0.8892 0.8854
0.0984 0.6097 0.3844
0.0984 0.8903 0.3844
0.4016 0.1097 0.8844
0.4016 0.3903 0.8844
0.5984 0.6097 0.1156
0.5984 0.8903 0.1156
0.9016 0.1097 0.6156
0.9016 0.3903 0.6156
0.1727 0.7500 0.6118
0.1842 0.0372 0.6134
0.1842 0.4628 0.6134
0.3158 0.5372 0.1134
0.3158 0.9628 0.1134
0.3273 0.2500 0.1118
0.6727 0.7500 0.8882
0.6842 0.0372 0.8866
0.6842 0.4628 0.8866
0.8158 0.5372 0.3866
0.8158 0.9628 0.3866
0.8273 0.2500 0.3882
```

***

# 8
Below is a relaxed Sr3Pd4Pb4 crystal, with properties calculated at the PBE level.

- calculated total energy (eV/atom) = -4.207
- ΔH_f (0 K) (eV per atom) = -0.51
- crystal system = triclinic

The structure in POSCAR format:
```
Sr3Pd4Pb4
1.0
4.5104 0.0000 0.0000
0.0022 5.0966 0.0000
2.2506 0.7414 13.2829
Sr Pd Pb
3 4 4
direct
0.0000 0.0000 0.0000
0.1544 0.6690 0.6927
0.8456 0.3310 0.3073
0.2525 0.3271 0.4951
0.4018 0.9786 0.1928
0.5982 0.0214 0.8072
0.7475 0.6729 0.5049
0.2998 0.8421 0.4002
0.4409 0.4902 0.1142
0.5591 0.5098 0.8858
0.7002 0.1579 0.5998
```

***

# 9
Below is a relaxed SrPd4Pb12 crystal, with properties calculated at the PBE level.

- calculated total energy (eV/atom) = -4.070
- ΔH_f (0 K) (eV per atom) = -0.13
- crystal system = cubic

The structure in POSCAR format:
```
SrPd4Pb12
1.0
-4.9612 4.9612 4.9612
4.9612 -4.9612 4.9612
4.9612 4.9612 -4.9612
Sr Pd Pb
1 4 12
direct
0.0000 0.0000 0.0000
0.0000 0.0000 0.5000
0.0000 0.5000 0.0000
0.5000 0.0000 0.0000
0.5000 0.5000 0.5000
0.1618 0.5023 0.3405
0.1618 0.8213 0.6595
0.1787 0.3405 0.8382
0.3405 0.1618 0.5023
0.3405 0.8382 0.1787
0.4977 0.6595 0.8382
0.5023 0.3405 0.1618
0.6595 0.1618 0.8213
0.6595 0.8382 0.4977
0.8213 0.6595 0.1618
0.8382 0.1787 0.3405
0.8382 0.4977 0.6595
```

***

# 10
Below is a relaxed SrPd6Pb crystal, with properties calculated at the PBE level.

- calculated total energy (eV/atom) = -4.699
- ΔH_f (0 K) (eV per atom) = -0.13
- crystal system = cubic

The structure in POSCAR format:
```
SrPd6Pb
1.0
5.3161 0.0000 0.0000
0.0000 5.3161 0.0000
0.0000 0.0000 5.3161
Sr Pd Pb
1 6 1
direct
0.0000 0.0000 0.0000
0.0000 0.2537 0.5000
0.0000 0.7463 0.5000
0.2537 0.5000 0.0000
0.5000 0.0000 0.2537
0.5000 0.0000 0.7463
0.7463 0.5000 0.0000
0.5000 0.5000 0.5000
```

***

# 11
Below is a relaxed SrPdPb3 crystal, with properties calculated at the PBE level.

- calculated total energy (eV/atom) = -3.963
- ΔH_f (0 K) (eV per atom) = -0.36
- crystal system = orthorhombic

The structure in POSCAR format:
```
SrPdPb3
1.0
10.2557 0.0000 0.0000
0.0000 4.7307 0.0000
0.0000 0.0000 11.9444
Sr Pd Pb
4 4 12
direct
0.1993 0.2500 0.0025
0.3007 0.7500 0.5025
0.6993 0.2500 0.4975
0.8007 0.7500 0.9975
0.1071 0.2500 0.6507
0.3929 0.7500 0.1507
0.6071 0.2500 0.8493
0.8929 0.7500 0.3493
0.0622 0.2500 0.4096
0.1185 0.7500 0.2059
0.1400 0.7500 0.7932
0.3600 0.2500 0.2932
0.3815 0.2500 0.7059
0.4378 0.7500 0.9096
0.5622 0.2500 0.0904
0.6185 0.7500 0.2941
0.6400 0.7500 0.7068
0.8600 0.2500 0.2068
0.8815 0.2500 0.7941
0.9378 0.7500 0.5904
```

***

# 12
Below is a relaxed SrPdPb3 crystal, with properties calculated at the PBE level.

- calculated total energy (eV/atom) = -3.778
- ΔH_f (0 K) (eV per atom) = -0.18
- crystal system = cubic

The structure in POSCAR format:
```
SrPdPb3
1.0
5.4627 0.0000 0.0000
0.0000 5.4627 0.0000
0.0000 0.0000 5.4627
Sr Pd Pb
1 1 3
direct
0.0000 0.0000 0.0000
0.5000 0.5000 0.5000
0.0000 0.5000 0.5000
0.5000 0.0000 0.5000
0.5000 0.5000 0.0000
```